Record 1
La2PrEr6 PBE relaxed; offset from the most stable computed form = 0 meV per atom; calculated total energy = -4.469 eV per atom; formation energy from the elements = 0.20 eV/atom
1.0
-1.699 5.034 8.775
1.699 -5.034 8.775
1.699 5.034 -8.775
La Pr Er
2 1 6
direct
0.166 0.166 0.000
0.834 0.834 0.000
0.500 0.500 0.000
0.147 0.333 0.813
0.190 0.000 0.190
0.480 0.667 0.813
0.520 0.333 0.187
0.810 0.000 0.810
0.853 0.667 0.187

=====

Record 2
Tl2AgAu PBE relaxed; offset from the most stable computed form = 66 meV per atom; calculated total energy = -2.620 eV per atom; formation energy from the elements = 0.10 eV/atom
1.0
3.714 0.000 0.000
0.000 3.714 0.000
0.000 0.000 6.878
Tl Ag Au
2 1 1
direct
0.000 0.000 0.246
0.000 0.000 0.754
0.500 0.500 0.500
0.500 0.500 0.000

=====

Record 3
Tb5SeS5 PBE relaxed; ΔE_f (raw) = -2.0168 eV per atom; calculated total energy = -6.314 eV per atom
1.0
6.243 -2.794 0.000
6.243 2.794 0.000
-2.472 0.000 7.519
Tb Se S
5 1 5
direct
0.000 0.000 0.000
0.332 0.332 0.656
0.337 0.337 0.179
0.663 0.663 0.821
0.668 0.668 0.344
0.500 0.500 0.000
0.166 0.166 0.332
0.172 0.172 0.840
0.500 0.500 0.500
0.828 0.828 0.160
0.834 0.834 0.668

=====

Record 4
TbSc5Ga3 PBE relaxed; calculated total energy = -5.496 eV per atom; formation energy from the elements = -0.46 eV/atom
1.0
8.459 0.000 0.000
-4.229 7.326 0.000
0.000 0.000 6.204
Tb Sc Ga
2 10 6
direct
0.000 0.000 0.000
0.000 0.000 0.500
0.000 0.337 0.250
0.000 0.663 0.750
0.333 0.667 0.000
0.333 0.667 0.500
0.337 0.000 0.250
0.337 0.337 0.750
0.663 0.000 0.750
0.663 0.663 0.250
0.667 0.333 0.000
0.667 0.333 0.500
0.000 0.337 0.750
0.000 0.663 0.250
0.337 0.000 0.750
0.337 0.337 0.250
0.663 0.000 0.250
0.663 0.663 0.750

=====

Record 5
PuScCuO6 PBE relaxed; ΔE_f (raw) = -2.1818 eV per atom; calculated total energy = -8.238 eV per atom
1.0
4.945 0.000 0.000
0.000 4.945 0.000
0.000 0.000 9.254
Pu Sc Cu O
2 2 2 12
direct
0.000 0.000 0.000
0.500 0.500 0.500
0.000 0.000 0.655
0.500 0.500 0.155
0.000 0.000 0.333
0.500 0.500 0.833
0.184 0.184 0.841
0.189 0.189 0.165
0.197 0.197 0.492
0.303 0.697 0.992
0.311 0.689 0.665
0.316 0.684 0.341
0.684 0.316 0.341
0.689 0.311 0.665
0.697 0.303 0.992
0.803 0.803 0.492
0.811 0.811 0.165
0.816 0.816 0.841

=====

Record 6
Ce2YRu PBE relaxed; offset from the most stable computed form = 3 meV per atom; calculated total energy = -7.128 eV per atom; formation energy from the elements = -0.23 eV/atom
1.0
1.875 -5.738 0.000
1.875 5.738 0.000
0.000 0.000 9.578
Ce Y Ru
4 2 2
direct
0.141 0.859 0.561
0.141 0.859 0.939
0.859 0.141 0.061
0.859 0.141 0.439
0.421 0.579 0.750
0.579 0.421 0.250
0.297 0.703 0.250
0.703 0.297 0.750

=====

Record 7
AcLaSnPb PBE relaxed; offset from the most stable computed form = 0 meV per atom; calculated total energy = -4.840 eV per atom; formation energy from the elements = -0.65 eV/atom
1.0
4.584 0.000 0.000
0.000 2.466 6.153
0.000 -2.466 6.153
Ac La Sn Pb
1 1 1 1
direct
0.000 0.000 0.000
0.500 0.729 0.729
0.500 0.452 0.452
0.000 0.275 0.275

=====

Record 8
CaIrO3 PBE relaxed; ΔE_f (raw) = -1.3662 eV per atom; calculated total energy = -6.514 eV per atom
1.0
3.931 0.000 0.000
0.000 3.931 0.000
0.000 0.000 3.931
Ca Ir O
1 1 3
direct
0.000 0.000 0.000
0.500 0.500 0.500
0.000 0.500 0.500
0.500 0.000 0.500
0.500 0.500 0.000

=====

Record 9
Rb2TaBiBr6 PBE relaxed; ΔE_f (raw) = -0.8313 eV per atom; calculated total energy = -3.602 eV per atom
1.0
-3.950 3.950 6.402
3.950 -3.950 6.402
3.950 3.950 -6.402
Rb Ta Bi Br
2 1 1 6
direct
0.250 0.750 0.500
0.750 0.250 0.500
0.000 0.000 0.000
0.500 0.500 0.000
0.205 0.205 0.000
0.235 0.235 0.469
0.235 0.765 0.000
0.765 0.235 0.000
0.765 0.765 0.531
0.795 0.795 0.000

=====

Record 10
ErZrPd5 PBE relaxed; calculated total energy = -6.233 eV per atom; formation energy from the elements = -0.65 eV/atom
1.0
4.029 0.000 0.000
0.000 4.029 0.000
0.000 0.000 8.035
Er Zr Pd
1 1 5
direct
0.000 0.000 0.000
0.500 0.500 0.500
0.000 0.500 0.269
0.000 0.500 0.731
0.500 0.000 0.269
0.500 0.000 0.731
0.500 0.500 0.000

=====

Record 11
BaTc2SnHg PBE relaxed; calculated total energy = -4.066 eV per atom; formation energy from the elements = 1.33 eV/atom
1.0
5.353 0.000 0.000
0.000 5.353 0.000
0.000 0.000 5.443
Ba Tc Sn Hg
1 2 1 1
direct
0.000 0.000 0.000
0.000 0.500 0.500
0.500 0.000 0.500
0.500 0.500 0.000
0.500 0.500 0.500

=====

Record 12
Pr8GaPt3I4 PBE relaxed; ΔE_f (raw) = -0.9969 eV per atom; calculated total energy = -5.096 eV per atom
1.0
4.337 2.504 8.068
-4.337 2.504 8.068
0.000 -5.008 8.068
Pr Ga Pt I
8 1 3 4
direct
0.223 0.735 0.735
0.230 0.230 0.230
0.265 0.265 0.777
0.265 0.777 0.265
0.735 0.223 0.735
0.735 0.735 0.223
0.770 0.770 0.770
0.777 0.265 0.265
0.500 0.500 0.500
0.000 0.000 0.500
0.000 0.500 0.000
0.500 0.000 0.000
0.000 0.000 0.000
0.000 0.500 0.500
0.500 0.000 0.500
0.500 0.500 0.000

=====

Number 1: V 300 Å³ per cell, density 7.868 Mg/m³. Number 2: V 95 Å³ per cell, density 12.491 Mg/m³. Number 3: V 262 Å³ per cell, density 6.547 Mg/m³. Number 4: V 384 Å³ per cell, density 5.122 Mg/m³. Number 5: V 226 Å³ per cell, density 6.583 Mg/m³. Number 6: V 206 Å³ per cell, density 7.575 Mg/m³. Number 7: V 139 Å³ per cell, density 8.256 Mg/m³. Number 8: V 61 Å³ per cell, density 7.664 Mg/m³. Number 9: V 400 Å³ per cell, density 4.323 Mg/m³. Number 10: V 130 Å³ per cell, density 10.065 Mg/m³. Number 11: V 156 Å³ per cell, density 6.949 Mg/m³. Number 12: V 526 Å³ per cell, density 7.232 Mg/m³.